First-principles (PBE) data for AgBi3C after structural relaxation, as listed in the Alexandria database.

Computed properties:
**E above lowest polymorph**: 0.899 eV per atom
**Calculated formation energy**: 1.870 eV/atom
**Space group**: No. 221
**Crystal system**: cubic

The structure in POSCAR format:
```
AgBi3C
1.0
5.5111 0.0000 0.0000
0.0000 5.5111 0.0000
0.0000 0.0000 5.5111
C Bi Ag
1 3 1
direct
0.5000 0.5000 0.5000 C
0.0000 0.5000 0.0000 Bi
0.0000 0.0000 0.5000 Bi
0.5000 0.0000 0.0000 Bi
0.0000 0.0000 0.0000 Ag
```

First-principles (PBE) data for NiSe after structural relaxation, as listed in the Alexandria database.

Computed properties:
**E_form (uncorrected)**: -0.196 eV per atom
**Space group**: No. 5
**Crystal system**: monoclinic

The structure in POSCAR format:
```
NiSe
1.0
-1.0301 4.8161 0.9037
-1.5219 -1.3689 5.5606
4.6913 0.1103 1.3111
Ni Se
4 4
direct
0.7263 0.5661 0.1854 Ni
0.2737 0.5661 0.8146 Ni
0.7263 0.0661 0.6854 Ni
0.2737 0.0661 0.3146 Ni
0.0000 0.8307 0.0000 Se
0.0000 0.3307 0.5000 Se
0.5000 0.7556 0.5000 Se
0.5000 0.2556 0.0000 Se
```

no.,density of states at the Fermi level (states/eV/f.u.)
1,6.36
2,1.60